Record 1
Nd3Ga2SnPt9 | GGA-PBE | relaxed

Geometry as extended XYZ:
```
15
Lattice="-4.3977 -3.5629 -0.4150 2.6921 0.6195 4.9574 -7.5858 9.0145 2.9930" Properties=species:S:1:pos:R:3 pbc="T T T"
Pt -6.1639 5.0430 2.7171
Nd -5.4942 6.1450 5.4640
Pt -2.1988 -1.7815 -0.2075
Pt 1.3460 0.3097 2.4787
Pt -0.8528 -1.4717 2.2712
Nd 0.0000 0.0000 0.0000
Pt -0.9178 2.8184 5.0268
Pt -7.0209 3.5639 4.9996
Pt -8.3737 3.2526 2.5086
Pt -2.2705 2.5071 2.5358
Sn -3.7929 4.5073 1.4965
Ga -8.3863 5.3793 3.8819
Pt -3.1276 1.0281 4.8183
Nd -3.7973 -0.0740 2.0713
Ga -0.9052 0.6917 3.6534
```

The calculation puts the density of states at the Fermi level at 0.461 states/eV per atom. For the total energy, the calculation gives -89.77 eV/f.u.

Record 2
Sr2SmTl3 | GGA-PBE | relaxed

Geometry as extended XYZ:
```
6
Lattice="-3.6050 -0.4644 1.6348 1.6467 -1.9026 3.0907 1.2915 10.6667 5.8782" Properties=species:S:1:pos:R:3 pbc="T T T"
Sm -0.3334 4.1498 5.3018
Tl 0.0000 0.0000 0.0000
Tl 0.8401 6.9384 3.8237
Tl 0.4514 3.7283 2.0546
Sr 0.0901 7.6481 7.2297
Sr -0.7570 0.6515 3.3740
```

The calculation puts the density of states at the Fermi level at 0.990 states/eV per atom. For the total energy, the calculation gives -17.58 eV/f.u.

Record 3
PtRh2 | GGA-PBE | relaxed

Geometry as extended XYZ:
```
12
Lattice="-3.3027 -3.8712 0.2586 -0.3890 -2.7353 4.2811 -5.7965 5.1290 2.7502" Properties=species:S:1:pos:R:3 pbc="T T T"
Rh -5.7986 0.2560 5.7007
Rh -2.0799 0.1535 1.4632
Pt -2.8763 -4.0370 3.2234
Rh -2.8983 2.5645 1.3751
Rh 0.0000 0.0000 0.0000
Rh -7.4084 -1.6309 5.8267
Pt -4.9443 -2.2071 4.2046
Pt -6.6120 2.5596 4.0665
Rh -2.2695 -1.1798 3.5499
Rh -3.6897 -1.7334 1.5892
Rh -7.2188 -0.2977 3.7400
Pt -4.5440 0.7297 3.0853
```

The calculation puts the density of states at the Fermi level at 2.148 states/eV per atom. The value obtained for the energy above the lowest structure with this stoichiometry is 1.04 eV/f.u.